Record 1
A plane-wave DFT calculation with GGA-PBEsol was carried out for a relaxed structure of AlAg.

Computed properties:
Calculated formation energy = -0.0637 eV per atom
Space group = C2/c (15)
Volume = 129 Å³/cell
Calculated total energy = -3.77 eV per atom

a b c (Å): 4.8318 4.9542 6.4558
angles (deg): 103.76 102.98 112.94
Closest atoms and distances in Å follow each position.
Fractional positions:
Al: 0.8125 0.0625 0.1250  7 Ag 2.70-2.90, 5 Al 2.83-2.94
Al: 0.9369 0.6869 0.3737  7 Ag 2.70-2.92, 5 Al 2.87-2.94
Al: 0.0631 0.3131 0.6263  7 Ag 2.70-2.92, 5 Al 2.87-2.94
Al: 0.1875 0.9375 0.8750  7 Ag 2.70-2.90, 5 Al 2.83-2.94
Ag: 0.3123 0.5623 0.1246  7 Al 2.70-2.92, 5 Ag 2.82-2.97
Ag: 0.4347 0.1847 0.3695  7 Al 2.70-2.90, 5 Ag 2.86-2.97
Ag: 0.5653 0.8153 0.6305  7 Al 2.70-2.90, 5 Ag 2.86-2.97
Ag: 0.6877 0.4377 0.8754  7 Al 2.70-2.92, 5 Ag 2.82-2.97

=====

Record 2
A plane-wave DFT calculation with GGA-PBEsol was carried out for a relaxed structure of Al2Ag5.

Computed properties:
Calculated formation energy = -0.0750 eV per atom
Space group = I4/mmm (139)
E above lowest polymorph = 0.016 eV/atom
Volume = 113 Å³/cell
Calculated total energy = -3.61 eV per atom

a b c (Å): 2.9324 2.9324 13.2924
angles (deg): 96.33 96.33 90.00
Closest atoms and distances in Å follow each position.
Fractional positions:
Al: 0.3565 0.3565 0.7131  8 Ag 2.73, 4 Al 2.93
Al: 0.6435 0.6435 0.2869  8 Ag 2.73, 4 Al 2.93
Ag: 0.0757 0.0757 0.1514  4 Al 2.73, 8 Ag 2.87-2.93
Ag: 0.5000 0.5000 0.0000  12 Ag 2.87-2.93
Ag: 0.9243 0.9243 0.8486  4 Al 2.73, 8 Ag 2.87-2.93
Ag: 0.7889 0.7889 0.5777  4 Al 2.73, 8 Ag 2.91-2.93
Ag: 0.2111 0.2111 0.4223  4 Al 2.73, 8 Ag 2.91-2.93